Compound: Zr3Co2
Source: Alexandria
Functional: PBE
Structure: relaxed

Lattice parameters (Å, degrees): 9.330 13.393 5.645 90.00 90.00 90.00
Space group Fdd2 (No. 43)
Asymmetric unit:
Zr (0.000, 0.000, 0.000)
Zr (0.016, 0.384, 0.991)
Co (0.012, 0.305, 0.503)

Output
V: 705.4 Å³/cell
total magnetic moment: 0.0 μB per formula unit
electronic total energy: -8.02 eV/atom
ΔE to the lowest computed polymorph: 0.186 eV/atom
formation enthalpy at 0 K: -0.2 eV per formula unit